# 1
VASP calculation (PBE) on a relaxed structure of Ho4OsPd.

abc: 9.4242 9.4242 9.4242
angles: 60.00 60.00 60.00
Last column: nearest neighbours and their distance in Å.
Element x y z (fractional)
1 Ho 0.3990 0.8029 0.3990  3 Os 2.83
2 Ho 0.3990 0.3990 0.8029  3 Os 2.83
3 Ho 0.9451 0.9451 0.5549  2 Os 2.72
4 Ho 0.5549 0.5549 0.9451  2 Os 2.72
5 Ho 0.1893 0.1893 0.8107  2 Pd 3.04, 2 Ho 3.38, 2 Os 3.39
6 Ho 0.8107 0.1893 0.1893  2 Pd 3.04, 2 Ho 3.38, 2 Os 3.39
7 Ho 0.9451 0.5549 0.9451  2 Os 2.72
8 Ho 0.8107 0.1893 0.8107  2 Pd 3.04, 2 Ho 3.38, 2 Os 3.39
9 Ho 0.8107 0.8107 0.1893  2 Pd 3.04, 2 Ho 3.38, 2 Os 3.39
10 Ho 0.8029 0.3990 0.3990  3 Os 2.83
11 Ho 0.9451 0.5549 0.5549  2 Os 2.72
12 Ho 0.5549 0.9451 0.5549  2 Os 2.72
13 Ho 0.1893 0.8107 0.1893  2 Pd 3.04, 2 Ho 3.38, 2 Os 3.39
14 Ho 0.1893 0.8107 0.8107  2 Pd 3.04, 2 Ho 3.38, 2 Os 3.39
15 Ho 0.5549 0.9451 0.9451  2 Os 2.72
16 Ho 0.3990 0.3990 0.3990  3 Os 2.83
17 Os 0.6112 0.6112 0.1665  6 Ho 2.72-2.83
18 Os 0.6112 0.1665 0.6112  6 Ho 2.72-2.83
19 Os 0.1665 0.6112 0.6112  6 Ho 2.72-2.83
20 Os 0.6112 0.6112 0.6112  6 Ho 2.72-2.83
21 Pd 0.5203 0.1599 0.1599  9 Ho 3.04-3.38, 3 Pd 3.40
22 Pd 0.1599 0.5203 0.1599  9 Ho 3.04-3.38, 3 Pd 3.40
23 Pd 0.1599 0.1599 0.5203  9 Ho 3.04-3.38, 3 Pd 3.40
24 Pd 0.1599 0.1599 0.1599  9 Ho 3.04-3.38, 3 Pd 3.40

Density of states at the Fermi level: 0.95 states/eV/atom
Energy above the lowest structure with this stoichiometry: 0.000 eV per atom

***

# 2
VASP calculation (PBE) on a relaxed structure of Ho5OsPd4.

abc: 3.4329 3.4329 17.7453
angles: 90.00 90.00 90.00
Last column: nearest neighbours and their distance in Å.
Element x y z (fractional)
1 Pd 0.0000 0.0000 0.7991  8 Ho 2.97-3.09
2 Pd 0.0000 0.0000 0.3995  8 Ho 3.01-3.03
3 Pd 0.0000 0.0000 0.2009  8 Ho 2.97-3.09
4 Pd 0.0000 0.0000 0.6005  8 Ho 3.01-3.03
5 Os 0.0000 0.0000 0.0000  8 Ho 2.94
6 Ho 0.5000 0.5000 0.5000  8 Pd 3.01
7 Ho 0.5000 0.5000 0.2977  8 Pd 2.97-3.03
8 Ho 0.5000 0.5000 0.7023  8 Pd 2.97-3.03
9 Ho 0.5000 0.5000 0.9066  4 Os 2.94, 4 Pd 3.09
10 Ho 0.5000 0.5000 0.0934  4 Os 2.94, 4 Pd 3.09

Density of states at the Fermi level: 0.47 states/eV/atom

***

# 3
VASP calculation (PBE) on a relaxed structure of Ho4OsPd3.

abc: 3.4339 3.4339 14.0879
angles: 90.00 90.00 90.00
Last column: nearest neighbours and their distance in Å.
Element x y z (fractional)
1 Ho 0.0000 0.0000 0.1175  4 Os 2.94, 4 Pd 3.07
2 Ho 0.0000 0.0000 0.6269  8 Pd 2.98-3.02
3 Ho 0.0000 0.0000 0.8825  4 Os 2.94, 4 Pd 3.07
4 Ho 0.0000 0.0000 0.3731  8 Pd 2.98-3.02
5 Pd 0.5000 0.5000 0.2503  8 Ho 2.98-3.07
6 Pd 0.5000 0.5000 0.5000  8 Ho 3.02
7 Pd 0.5000 0.5000 0.7497  8 Ho 2.98-3.07
8 Os 0.5000 0.5000 0.0000  8 Ho 2.94

Density of states at the Fermi level: 0.32 states/eV/atom

***

# 4
VASP calculation (PBE) on a relaxed structure of Ho2OsPd.

abc: 4.8527 4.8527 4.8527
angles: 60.00 60.00 60.00
Last column: nearest neighbours and their distance in Å.
Element x y z (fractional)
1 Os 0.5000 0.5000 0.5000  8 Ho 2.97
2 Ho 0.2500 0.2500 0.2500  4 Os 2.97, 4 Pd 2.97
3 Ho 0.7500 0.7500 0.7500  4 Pd 2.97, 4 Os 2.97
4 Pd 0.0000 0.0000 0.0000  8 Ho 2.97

Density of states at the Fermi level: 0.49 states/eV/atom
Energy above the lowest structure with this stoichiometry: 0.026 eV per atom

***

# 5
VASP calculation (PBE) on a relaxed structure of Ho8OsPd2.

abc: 5.0528 6.7558 8.9389
angles: 106.11 106.42 90.00
Last column: nearest neighbours and their distance in Å.
Element x y z (fractional)
1 Ho 0.0313 0.7952 0.0625  1 Pd 2.89, 2 Os 3.00
2 Ho 0.9688 0.2048 0.9375  1 Pd 2.89, 2 Os 3.00
3 Ho 0.5906 0.4366 0.1812  1 Os 2.91
4 Ho 0.7996 0.6875 0.5992  1 Pd 2.77
5 Ho 0.3354 0.0313 0.6709  3 Pd 2.82-3.15, 1 Os 2.89
6 Ho 0.2004 0.3125 0.4008  1 Pd 2.77
7 Ho 0.6646 0.9687 0.3291  3 Pd 2.82-3.15, 1 Os 2.89
8 Ho 0.4094 0.5634 0.8188  1 Os 2.91
9 Os 0.5000 0.0000 0.0000  8 Ho 2.89-3.00
10 Pd 0.1873 0.7115 0.3746  3 Ho 2.77-2.89
11 Pd 0.8127 0.2885 0.6254  3 Ho 2.77-2.89

Density of states at the Fermi level: 1.10 states/eV/atom
Energy above the lowest structure with this stoichiometry: 0.000 eV per atom

***

# 6
VASP calculation (PBE) on a relaxed structure of Ho4OsPd.

abc: 4.8061 4.8065 6.8421
angles: 89.99 90.00 90.00
Last column: nearest neighbours and their distance in Å.
Element x y z (fractional)
1 Pd 0.5013 0.4973 0.9981  8 Ho 2.99
2 Ho 0.5012 0.9970 0.2573  2 Os 2.91, 2 Pd 2.99
3 Ho 0.5014 0.9976 0.7390  2 Os 2.91, 2 Pd 2.99
4 Ho 0.0014 0.4976 0.7390  2 Os 2.91-2.92, 2 Pd 2.99
5 Ho 0.0012 0.4970 0.2573  2 Os 2.91-2.92, 2 Pd 2.99
6 Os 0.0013 0.9973 0.4981  8 Ho 2.91-2.92

Density of states at the Fermi level: 0.73 states/eV/atom
Energy above the lowest structure with this stoichiometry: 0.009 eV per atom

***

Number 1: formation energy from the elements -414 meV per atom, uncorrected energy -6.203 eV per atom. Number 2: formation energy from the elements -784 meV per atom, uncorrected energy -6.273 eV per atom. Number 3: formation energy from the elements -760 meV per atom, uncorrected energy -6.400 eV per atom. Number 4: formation energy from the elements -570 meV per atom, uncorrected energy -6.964 eV per atom. Number 5: formation energy from the elements -410 meV per atom, uncorrected energy -5.704 eV per atom. Number 6: formation energy from the elements -405 meV per atom, uncorrected energy -6.194 eV per atom.